i) The following is a PBE calculation of InHgP after structural relaxation, from the Alexandria database.

It has space group P3m1 (No. 156), with a = 4.0404 Å, b = 4.0404 Å, c = 5.0266 Å, α = 90.00°, β = 90.00° and γ = 120.00°. The inequivalent atoms are In at (0.0000, 0.0000, 0.0000), Hg at (0.3333, 0.6667, 0.5842) and P at (0.6667, 0.3333, 0.2472).

The volume comes out at 71 Å³/cell. The total moment comes out at 0.0000 μB/atom. The density of states at the Fermi level comes out at 0.4 states/eV per cell.

***

ii) The following is a PBE calculation of InHgP after structural relaxation, from the Alexandria database.

It has space group F-43m (No. 216), with a = 6.717 Å, b = 6.717 Å, c = 6.717 Å, α = 90.00°, β = 90.00° and γ = 90.00°. The inequivalent atoms are In at (0.000, 0.000, 0.000), Hg at (0.000, 0.000, 0.500) and P at (0.250, 0.250, 0.250).

The volume comes out at 303 Å³/cell. The total moment comes out at 0.0000 μB/atom. The density of states at the Fermi level comes out at 6.6 states/eV per cell.

***

Relative energy table, unit kJ/mol of atoms: i) 0.0; ii) 12.3

***

i) The following is a PBE calculation of In2HgPb5 after structural relaxation, from the Alexandria database.

It has space group I4/mmm (No. 139), with a = 7.281 Å, b = 7.281 Å, c = 8.983 Å, α = 90.00°, β = 90.00° and γ = 90.00°. The inequivalent atoms are In at (0.000, 0.500, 0.000), Hg at (0.000, 0.000, 0.000), Pb at (0.000, 0.000, 0.500) and Pb at (0.250, 0.250, 0.250).

The volume comes out at 476 Å³/cell. The total moment comes out at 0.0000 μB/atom. The density of states at the Fermi level comes out at 4.9 states/eV per cell.

***

ii) The following is a PBE calculation of In2HgPb5 after structural relaxation, from the Alexandria database.

It has space group Cmcm (No. 63), with a = 3.409 Å, b = 17.394 Å, c = 16.836 Å, α = 90.00°, β = 90.00° and γ = 90.00°. The inequivalent atoms are In at (0.000, 0.069, 0.157), Hg at (0.000, 0.085, 0.750), Pb at (0.000, 0.086, 0.550), Pb at (0.000, 0.257, 0.250) and Pb at (0.000, 0.289, 0.580).

The volume comes out at 998 Å³/cell. The total moment comes out at 0.0000 μB/atom. The density of states at the Fermi level comes out at 17.4 states/eV per cell.

***

Relative energy table, unit kJ/mol of atoms: i) 0.0; ii) 5.6

***

i) The following is a PBE calculation of InHg7Pb12 after structural relaxation, from the Alexandria database.

It has space group R-3 (No. 148, hexagonal axes), with a = 15.1644 Å, b = 15.1644 Å, c = 8.9167 Å, α = 90.00°, β = 90.00° and γ = 120.00°. The inequivalent atoms are In at (0.0000, 0.0000, 0.0000), Hg at (0.0000, 0.0000, 0.5000), Hg at (0.0176, 0.8545, 0.1964), Pb at (0.0309, 0.7670, 0.8464) and Pb at (0.0725, 0.5061, 0.1659).

The volume comes out at 1776 Å³/cell. The total moment comes out at 0.0000 μB/atom. The density of states at the Fermi level comes out at 29.7 states/eV per cell.

***

ii) The following is a PBE calculation of InHg7Pb12 after structural relaxation, from the Alexandria database.

It has space group R-3 (No. 148, hexagonal axes), with a = 13.8362 Å, b = 13.8362 Å, c = 11.0812 Å, α = 90.00°, β = 90.00° and γ = 120.00°. The inequivalent atoms are In at (0.0000, 0.0000, 0.0000), Hg at (0.0000, 0.0000, 0.5000), Hg at (0.0803, 0.2536, 0.9323), Pb at (0.0365, 0.1655, 0.2678) and Pb at (0.0444, 0.2518, 0.5533).

The volume comes out at 1837 Å³/cell. The total moment comes out at 0.0000 μB/atom. The density of states at the Fermi level comes out at 18.3 states/eV per cell.

***

Relative energy table, unit kJ/mol of atoms: i) 0.0; ii) 0.9

***

i) The following is a PBE calculation of In5Hg4Pb2 after structural relaxation, from the Alexandria database.

It has space group C2/m (No. 12), with a = 8.028 Å, b = 9.533 Å, c = 9.545 Å, α = 90.00°, β = 111.46° and γ = 90.00°. The inequivalent atoms are In at (0.000, 0.000, 0.000), In at (0.000, 0.340, 0.500), In at (0.250, 0.250, 0.000), Hg at (0.122, 0.194, 0.274) and Pb at (0.180, 0.000, 0.655).

The volume comes out at 680 Å³/cell. The total moment comes out at 0.0000 μB/atom. The density of states at the Fermi level comes out at 9.4 states/eV per cell.

***

ii) The following is a PBE calculation of In5Hg4Pb2 after structural relaxation, from the Alexandria database.

It has space group Immm (No. 71), with a = 3.292 Å, b = 8.516 Å, c = 22.446 Å, α = 90.00°, β = 90.00° and γ = 90.00°. The inequivalent atoms are In at (0.000, 0.000, 0.000), In at (0.000, 0.307, 0.360), Hg at (0.000, 0.198, 0.500), Hg at (0.000, 0.500, 0.094) and Pb at (0.000, 0.500, 0.231).

The volume comes out at 629 Å³/cell. The total moment comes out at 0.0000 μB/atom. The density of states at the Fermi level comes out at 10.1 states/eV per cell.

***

Relative energy table, unit kJ/mol of atoms: i) 1.0; ii) 0.0

***

i) The following is a PBE calculation of In2Hg4Pb after structural relaxation, from the Alexandria database.

It has space group I4/mmm (No. 139), with a = 5.896 Å, b = 5.896 Å, c = 14.991 Å, α = 90.00°, β = 90.00° and γ = 90.00°. The inequivalent atoms are In at (0.000, 0.000, 0.100), Hg at (0.000, 0.000, 0.296), Hg at (0.000, 0.500, 0.000) and Pb at (0.000, 0.000, 0.500).

The volume comes out at 521 Å³/cell. The total moment comes out at 0.0000 μB/atom. The density of states at the Fermi level comes out at 5.9 states/eV per cell.

***

ii) The following is a PBE calculation of In2Hg4Pb after structural relaxation, from the Alexandria database.

It has space group P-1 (No. 2), with a = 3.505 Å, b = 3.587 Å, c = 16.758 Å, α = 89.22°, β = 89.62° and γ = 66.27°. The inequivalent atoms are In at (0.010, 0.031, 0.210), Hg at (0.334, 0.329, 0.931), Hg at (0.380, 0.402, 0.348) and Pb at (0.000, 0.000, 0.500).

The volume comes out at 193 Å³/cell. The total moment comes out at 0.0000 μB/atom. The density of states at the Fermi level comes out at 2.4 states/eV per cell.

***

iii) The following is a PBE calculation of In2Hg4Pb after structural relaxation, from the Alexandria database.

It has space group I4/mmm (No. 139), with a = 4.218 Å, b = 4.218 Å, c = 22.163 Å, α = 90.00°, β = 90.00° and γ = 90.00°. The inequivalent atoms are In at (0.000, 0.000, 0.081), Hg at (0.000, 0.000, 0.357), Hg at (0.000, 0.500, 0.250) and Pb at (0.000, 0.000, 0.500).

The volume comes out at 394 Å³/cell. The total moment comes out at 0.0000 μB/atom. The density of states at the Fermi level comes out at 7.0 states/eV per cell.

***

Relative energy table, unit kJ/mol of atoms: i) 15.7; ii) 0.0; iii) 6.1

***

i) The following is a PBE calculation of InHg4Pb2 after structural relaxation, from the Alexandria database.

It has space group I4/mmm (No. 139), with a = 5.662 Å, b = 5.662 Å, c = 15.396 Å, α = 90.00°, β = 90.00° and γ = 90.00°. The inequivalent atoms are In at (0.000, 0.000, 0.000), Hg at (0.000, 0.000, 0.194), Hg at (0.000, 0.500, 0.000) and Pb at (0.000, 0.000, 0.392).

The volume comes out at 494 Å³/cell. The total moment comes out at 0.0000 μB/atom. The density of states at the Fermi level comes out at 4.4 states/eV per cell.

***

ii) The following is a PBE calculation of InHg4Pb2 after structural relaxation, from the Alexandria database.

It has space group R-3m (No. 166, hexagonal axes), with a = 3.3827 Å, b = 3.3827 Å, c = 59.6647 Å, α = 90.00°, β = 90.00° and γ = 120.00°. The inequivalent atoms are In at (0.0000, 0.0000, 0.0000), Hg at (0.0000, 0.0000, 0.1435), Hg at (0.0000, 0.0000, 0.2875) and Pb at (0.0000, 0.0000, 0.4274).

The volume comes out at 591 Å³/cell. The total moment comes out at 0.0000 μB/atom. The density of states at the Fermi level comes out at 12.5 states/eV per cell.

***

Relative energy table, unit kJ/mol of atoms: i) 13.2; ii) 0.0